Here is a relaxed structure of Zr4AsPb from Alexandria. Energies are from PBE.

Summary:
For the calculated formation energy, the calculation gives 0.16 eV/atom. The magnetic moment comes out at 0.0 μB/cell. As for the space group: F-43m.

Cell: 5.8049 5.8049 5.8049 Å, 60.00 60.00 60.00°
Closest atoms and distances in Å follow each position.
Fractional coordinates of all 6 atoms:
1 Zr 0.1254 0.1254 0.1254  6 Zr 2.89-2.91
2 Zr 0.1254 0.1254 0.6238  6 Zr 2.89-2.91
3 Zr 0.1254 0.6238 0.1254  6 Zr 2.89-2.91
4 Zr 0.6238 0.1254 0.1254  6 Zr 2.89-2.91
5 As 0.7500 0.7500 0.7500  12 Zr 3.40, 4 Pb 3.55
6 Pb 0.5000 0.5000 0.5000  12 Zr 3.40, 4 As 3.55

Here is a relaxed structure of RbAl2Ag from Alexandria. Energies are from PBE.

Summary:
The calculation puts the energy above the most stable polymorph in this dataset at 0 meV/atom. For the calculated formation energy, the calculation gives 0.04 eV/atom. The magnetic moment comes out at 0.0 μB/cell. As for the space group: R-3m.

Cell: 7.2039 7.2039 7.2039 Å, 36.78 36.78 36.78°
Closest atoms and distances in Å follow each position.
Fractional coordinates of all 4 atoms:
1 Rb 0.0000 0.0000 0.0000  8 Al 3.78-3.93
2 Al 0.1880 0.1880 0.1880  3 Ag 2.66, 3 Al 2.76
3 Al 0.8120 0.8120 0.8120  3 Ag 2.66, 3 Al 2.76
4 Ag 0.5000 0.5000 0.5000  6 Al 2.66

| no. | raw total energy (eV per cell) |
| --- | --- |
| 1 | -41.6 |
| 2 | -11.1 |